A geometry-optimized K2TmVSe4 structure. Source: the Alexandria database, functional PBE.

a b c (Å): 7.460 7.460 9.733
angles (deg): 90.00 90.00 90.00
Space group I-4 (No. 82)
Asymmetric unit:
K1 0.000 0.000 0.000 (multiplicity 2)
K2 0.000 0.500 0.250 (multiplicity 2)
Tm1 0.000 0.500 0.750 (multiplicity 2)
V1 0.000 0.000 0.500 (multiplicity 2)
Se1 0.171 0.767 0.617 (multiplicity 8)

The spin magnetization comes out at 2.000 μB/f.u.



A geometry-optimized BaLiErCl6 structure. Source: the Alexandria database, functional PBE.

a b c (Å): 6.8027 6.8027 13.4355
angles (deg): 90.00 90.00 120.00
Space group P-31c (No. 163)
Asymmetric unit:
Ba1 0.0000 0.0000 0.0000 (multiplicity 2)
Li1 0.3333 0.6667 0.2500 (multiplicity 2)
Er1 0.3333 0.6667 0.7500 (multiplicity 2)
Cl1 0.0009 0.3675 0.1393 (multiplicity 12)

The spin magnetization comes out at 0.000 μB/f.u.



Listing formation energy from raw total energies for the structures above in their given order: -1.137 -2.260 eV/atom.